# HfTlAgTe3, optimized geometry, DFT PBE
# * V: 29.39 A^3/atom
# * uncorrected energy: -4.5940 eV per atom
# * total moment: 0.00 μB/atom
# * mass density: 8.23 Mg/m³
data_HfTlAgTe3
_cell_length_a 11.278
_cell_length_b 4.162
_cell_length_c 15.027
_cell_angle_alpha 90.00
_cell_angle_beta 90.00
_cell_angle_gamma 90.00
_space_group_name_H-M_alt 'P n m a'
_space_group_IT_number 62
_space_group_name_Hall '-P 2ac 2n'
loop_
_atom_site_label
_atom_site_type_symbol
_atom_site_fract_x
_atom_site_fract_y
_atom_site_fract_z
_atom_site_occupancy
Hf1 Hf 0.034 0.250 0.250 1
Tl1 Tl 0.237 0.750 0.510 1
Ag1 Ag 0.247 0.250 0.701 1
Te1 Te 0.025 0.250 0.620 1
Te2 Te 0.040 0.750 0.113 1
Te3 Te 0.234 0.750 0.824 1

***

# HfTlAgTe3, optimized geometry, DFT PBE
# * V: 28.75 A^3/atom
# * uncorrected energy: -4.5184 eV per atom
# * total moment: 0.00 μB/atom
# * mass density: 8.41 Mg/m³
data_HfTlAgTe3
_cell_length_a 8.352
_cell_length_b 4.466
_cell_length_c 18.500
_cell_angle_alpha 90.00
_cell_angle_beta 90.00
_cell_angle_gamma 90.00
_space_group_name_H-M_alt 'P n m a'
_space_group_IT_number 62
_space_group_name_Hall '-P 2ac 2n'
loop_
_atom_site_label
_atom_site_type_symbol
_atom_site_fract_x
_atom_site_fract_y
_atom_site_fract_z
_atom_site_occupancy
Hf1 Hf 0.244 0.250 0.046 1
Tl1 Tl 0.145 0.250 0.810 1
Ag1 Ag 0.003 0.250 0.328 1
Te1 Te 0.005 0.250 0.574 1
Te2 Te 0.126 0.750 0.957 1
Te3 Te 0.169 0.250 0.195 1

***

# HfTlAgTe3, optimized geometry, DFT PBE
# * V: 30.25 A^3/atom
# * uncorrected energy: -4.5298 eV per atom
# * total moment: 0.00 μB/atom
# * mass density: 7.99 Mg/m³
data_HfTlAgTe3
_cell_length_a 13.198
_cell_length_b 4.211
_cell_length_c 13.064
_cell_angle_alpha 90.00
_cell_angle_beta 90.00
_cell_angle_gamma 90.00
_space_group_name_H-M_alt 'P n m a'
_space_group_IT_number 62
_space_group_name_Hall '-P 2ac 2n'
loop_
_atom_site_label
_atom_site_type_symbol
_atom_site_fract_x
_atom_site_fract_y
_atom_site_fract_z
_atom_site_occupancy
Hf1 Hf 0.044 0.250 0.167 1
Tl1 Tl 0.173 0.250 0.484 1
Ag1 Ag 0.236 0.750 0.311 1
Te1 Te 0.019 0.750 0.323 1
Te2 Te 0.083 0.250 0.932 1
Te3 Te 0.247 0.750 0.665 1

***

mass density of number 3 (HfTlAgTe3)? 7.99 Mg/m³